[1]
Below is a geometry-optimized BC structure, with properties calculated at the PBE level.

Properties
final energy	-7.56	eV/atom
total magnetic moment	0.0	μB per formula unit

Cell lengths 4.088, 2.547, 7.983 Å; angles 90.00, 90.56, 90.00 degrees
Atoms (fractional coordinates):
B (0.000, 0.000, 0.000)
B (0.011, 0.000, 0.345)
B (0.317, 0.000, 0.499)
B (0.697, 0.500, 0.022)
B (0.710, 0.500, 0.361)
B (0.945, 0.000, 0.723)
C (0.258, 0.000, 0.849)
C (0.289, 0.000, 0.213)
C (0.473, 0.500, 0.849)
C (0.477, 0.500, 0.184)
C (0.514, 0.500, 0.536)
C (0.715, 0.500, 0.694)

[2]
Below is a geometry-optimized BC structure, with properties calculated at the PBE level.

Properties
final energy	-7.60	eV/atom
total magnetic moment	0.0	μB per formula unit

Cell lengths 11.050, 11.050, 11.050 Å; angles 167.37, 167.02, 18.15 degrees
Atoms (fractional coordinates):
B (0.000, 0.000, 0.000)
B (0.181, 0.181, 0.000)
B (0.740, 0.240, 0.500)
B (0.800, 0.800, 0.000)
B (0.938, 0.438, 0.500)
C (0.130, 0.630, 0.500)
C (0.350, 0.850, 0.500)
C (0.389, 0.389, 0.000)
C (0.548, 0.048, 0.500)
C (0.590, 0.590, 0.000)

[3]
Below is a geometry-optimized BC structure, with properties calculated at the PBE level.

Properties
final energy	-7.56	eV/atom
total magnetic moment	0.0	μB per formula unit

Cell lengths 6.694, 6.694, 5.014 Å; angles 100.76, 100.76, 21.29 degrees
Atoms (fractional coordinates):
B (0.000, 0.000, 0.000)
B (0.002, 0.002, 0.528)
B (0.100, 0.100, 0.311)
B (0.399, 0.399, 0.960)
B (0.403, 0.403, 0.465)
B (0.671, 0.671, 0.850)
C (0.089, 0.089, 0.810)
C (0.317, 0.317, 0.671)
C (0.319, 0.319, 0.175)
C (0.679, 0.679, 0.351)
C (0.751, 0.751, 0.631)
C (0.753, 0.753, 0.146)

[4]
Below is a geometry-optimized BC structure, with properties calculated at the PBE level.

Properties
final energy	-7.69	eV/atom
total magnetic moment	0.0	μB per formula unit

Cell lengths 4.713, 2.726, 7.694 Å; angles 90.00, 99.50, 90.00 degrees
Atoms (fractional coordinates):
B (0.084, 0.000, 0.275)
B (0.242, 0.500, 0.051)
B (0.414, 0.500, 0.721)
B (0.586, 0.500, 0.279)
B (0.758, 0.500, 0.949)
B (0.916, 0.000, 0.725)
C (0.246, 0.500, 0.260)
C (0.256, 0.000, 0.749)
C (0.317, 0.000, 0.959)
C (0.683, 0.000, 0.041)
C (0.744, 0.000, 0.251)
C (0.754, 0.500, 0.740)

[5]
Below is a geometry-optimized BC structure, with properties calculated at the PBE level.

Properties
final energy	-7.57	eV/atom
total magnetic moment	0.0	μB per formula unit

Cell lengths 4.123, 2.591, 5.249 Å; angles 90.00, 93.05, 90.00 degrees
Atoms (fractional coordinates):
B (0.000, 0.000, 0.000)
B (0.080, 0.000, 0.399)
B (0.384, 0.000, 0.633)
B (0.770, 0.500, 0.429)
C (0.333, 0.000, 0.161)
C (0.540, 0.500, 0.163)
C (0.582, 0.500, 0.690)
C (0.776, 0.500, 0.941)

[6]
Below is a geometry-optimized B7C5 structure, with properties calculated at the PBE level.

Properties
final energy	-7.30	eV/atom
total magnetic moment	0.0	μB per formula unit

Cell lengths 6.827, 6.827, 5.112 Å; angles 100.95, 100.95, 20.59 degrees
Atoms (fractional coordinates):
B (0.000, 0.000, 0.000)
B (0.007, 0.007, 0.423)
B (0.082, 0.082, 0.750)
B (0.315, 0.315, 0.619)
B (0.400, 0.400, 0.930)
B (0.409, 0.409, 0.354)
B (0.678, 0.678, 0.798)
C (0.099, 0.099, 0.247)
C (0.310, 0.310, 0.133)
C (0.667, 0.667, 0.287)
C (0.737, 0.737, 0.559)
C (0.745, 0.745, 0.091)

total magnetic moment of number 6 (B7C5)?
0.0 μB per formula unit